# 1
# PaBiS2 (PBE, relaxed)
# M_tot ... 0.000 μB per atom
# Symmetry ... R-3m
# E_form (uncorrected) ... -738.7 meV/atom
# Total energy ... -6.15 eV/atom
data_PaBiS2
_chemical_formula_sum 'Pa1 Bi1 S2'
_space_group_name_H-M_alt 'P 1'
_space_group_IT_number 1
_space_group_name_Hall 'P 1'
_cell_length_a 7.393
_cell_length_b 7.393
_cell_length_c 7.393
_cell_angle_alpha 33.02
_cell_angle_beta 33.02
_cell_angle_gamma 33.02
loop_
_atom_site_label
_atom_site_type_symbol
_atom_site_fract_x
_atom_site_fract_y
_atom_site_fract_z
Pa1 Pa 0.000 0.000 0.000
Bi1 Bi 0.500 0.500 0.500
S1 S 0.278 0.278 0.278
S2 S 0.722 0.722 0.722



# 2
# DyHf3Pd12 (PBE, relaxed)
# Energy of formation from the pure elements ... -897 meV per atom
# M_tot ... 0.000 μB per atom
# Symmetry ... P4/mmm
# Total energy ... -6.95 eV/atom
data_DyHf3Pd12
_chemical_formula_sum 'Dy1 Hf3 Pd12'
_space_group_name_H-M_alt 'P 1'
_space_group_IT_number 1
_space_group_name_Hall 'P 1'
_cell_length_a 4.034
_cell_length_b 4.034
_cell_length_c 16.171
_cell_angle_alpha 90.00
_cell_angle_beta 90.00
_cell_angle_gamma 90.00
loop_
_atom_site_label
_atom_site_type_symbol
_atom_site_fract_x
_atom_site_fract_y
_atom_site_fract_z
Dy1 Dy 0.000 0.000 0.000
Hf1 Hf 0.000 0.000 0.250
Hf2 Hf 0.000 0.000 0.500
Hf3 Hf 0.000 0.000 0.750
Pd1 Pd 0.000 0.500 0.132
Pd2 Pd 0.000 0.500 0.377
Pd3 Pd 0.000 0.500 0.623
Pd4 Pd 0.000 0.500 0.868
Pd5 Pd 0.500 0.000 0.132
Pd6 Pd 0.500 0.000 0.377
Pd7 Pd 0.500 0.000 0.623
Pd8 Pd 0.500 0.000 0.868
Pd9 Pd 0.500 0.500 0.000
Pd10 Pd 0.500 0.500 0.255
Pd11 Pd 0.500 0.500 0.500
Pd12 Pd 0.500 0.500 0.745



# 3
# CaNd3P (PBE, relaxed)
# Energy of formation from the pure elements ... -454 meV per atom
# M_tot ... 0.000 μB per atom
# Symmetry ... Pm-3m
# Total energy ... -4.80 eV/atom
data_CaNd3P
_chemical_formula_sum 'Ca1 Nd3 P1'
_space_group_name_H-M_alt 'P 1'
_space_group_IT_number 1
_space_group_name_Hall 'P 1'
_cell_length_a 5.644
_cell_length_b 5.644
_cell_length_c 5.644
_cell_angle_alpha 90.00
_cell_angle_beta 90.00
_cell_angle_gamma 90.00
loop_
_atom_site_label
_atom_site_type_symbol
_atom_site_fract_x
_atom_site_fract_y
_atom_site_fract_z
Ca1 Ca 0.000 0.000 0.000
Nd1 Nd 0.000 0.500 0.500
Nd2 Nd 0.500 0.000 0.500
Nd3 Nd 0.500 0.500 0.000
P1 P 0.500 0.500 0.500



# 4
# Pr4BSeBr2 (PBE, relaxed)
# M_tot ... 0.000 μB per atom
# Symmetry ... P2/m
# E_form (uncorrected) ... -1186.1 meV/atom
# Total energy ... -5.26 eV/atom
data_Pr4BSeBr2
_chemical_formula_sum 'Pr4 B1 Se1 Br2'
_space_group_name_H-M_alt 'P 1'
_space_group_IT_number 1
_space_group_name_Hall 'P 1'
_cell_length_a 7.364
_cell_length_b 4.114
_cell_length_c 7.719
_cell_angle_alpha 90.00
_cell_angle_beta 107.81
_cell_angle_gamma 90.00
loop_
_atom_site_label
_atom_site_type_symbol
_atom_site_fract_x
_atom_site_fract_y
_atom_site_fract_z
Pr1 Pr 0.207 0.000 0.197
Pr2 Pr 0.233 0.500 0.796
Pr3 Pr 0.767 0.500 0.204
Pr4 Pr 0.793 0.000 0.803
B1 B 0.000 0.500 0.000
Se1 Se 0.500 0.000 0.000
Br1 Br 0.000 0.000 0.500
Br2 Br 0.500 0.500 0.500